This record from the Alexandria database describes a relaxed structure of NdOsCl. The functional is PBE-GGA.

## Properties
**Fermi-level density of states**: 3.50 states/eV/cell
**Crystal system**: monoclinic
**Energy relative to the elements, uncorrected**: -0.773 eV/atom
**Energy above the lowest structure with this stoichiometry**: 328 meV/atom
**Symmetry**: No. 12

a b c (Å): 3.449 3.449 12.175
angles (deg): 90.21 90.21 84.27
Fractional coordinates of all 6 atoms:
Nd 0.247 0.247 0.281
Nd 0.753 0.753 0.719
Os 0.250 0.250 0.537
Os 0.750 0.750 0.463
Cl 0.254 0.254 0.858
Cl 0.746 0.746 0.142